# La3FeW

A geometry-optimized La3FeW structure (PBE, the Alexandria database).

POSCAR file:
```
La3FeW
1.0
5.137 0.000 0.000
0.000 5.137 0.000
0.000 0.000 5.137
La Fe W
3 1 1
direct
0.000 0.000 0.500
0.000 0.500 0.000
0.500 0.000 0.000
0.000 0.000 0.000
0.500 0.500 0.500
```

## Properties
**Mass density**: 8.043 g cm⁻³
**Crystal system**: cubic
**VASP energy**: -6.395 eV per atom
**Density of states at the Fermi level**: 1.790 states/eV/atom
**Formation energy**: 19.49 kcal/mol of atoms
**M_tot**: 0.00 μB/f.u.

# LaFeW

A geometry-optimized LaFeW structure (PBE, the Alexandria database).

POSCAR file:
```
LaFeW
1.0
0.000 3.167 3.167
3.167 0.000 3.167
3.167 3.167 0.000
La Fe W
1 1 1
direct
0.000 0.000 0.000
0.750 0.750 0.750
0.500 0.500 0.500
```

## Properties
**Mass density**: 9.895 g cm⁻³
**Energy above the most stable polymorph in this dataset**: 598 meV/atom
**Crystal system**: cubic
**VASP energy**: -7.813 eV per atom
**Density of states at the Fermi level**: 1.795 states/eV/atom
**Formation energy**: 22.32 kcal/mol of atoms
**M_tot**: 0.61 μB/f.u.

Q: Which of these has the lowest M_tot?
A: La3FeW